Entry 1:
The following is a PBE calculation of Na5PtSe8 after structural relaxation, from the Alexandria database.

The calculation puts the total energy at -3.373 eV/atom. The calculation puts the uncorrected formation energy at -0.480 eV/atom. As for the symmetry: I-4.

Unit cell a=7.994 b=7.994 c=7.994 alpha=109.43 beta=109.43 gamma=109.55
Atoms (fractional coordinates):
Na (0.000, 0.000, 0.000)
Na (0.241, 0.626, 0.030)
Na (0.374, 0.404, 0.615)
Na (0.596, 0.211, 0.970)
Na (0.789, 0.759, 0.385)
Pt (0.750, 0.250, 0.500)
Se (0.162, 0.212, 0.819)
Se (0.384, 0.026, 0.375)
Se (0.393, 0.343, 0.181)
Se (0.651, 0.009, 0.625)
Se (0.657, 0.838, 0.050)
Se (0.788, 0.607, 0.950)
Se (0.974, 0.349, 0.358)
Se (0.991, 0.616, 0.642)



Entry 2:
The following is a PBE calculation of Ac2Dy2TmHg5 after structural relaxation, from the Alexandria database.

The calculation puts the total energy at -2.688 eV/atom. Its formation energy is -347 meV per atom. As for the symmetry: P4/mbm.

Unit cell a=12.202 b=12.202 c=3.942 alpha=90.00 beta=90.00 gamma=90.00
Atoms (fractional coordinates):
Ac (0.172, 0.328, 0.000)
Ac (0.328, 0.828, 0.000)
Ac (0.672, 0.172, 0.000)
Ac (0.828, 0.672, 0.000)
Dy (0.131, 0.631, 0.000)
Dy (0.369, 0.131, 0.000)
Dy (0.631, 0.869, 0.000)
Dy (0.869, 0.369, 0.000)
Tm (0.000, 0.000, 0.000)
Tm (0.500, 0.500, 0.000)
Hg (0.000, 0.500, 0.500)
Hg (0.080, 0.822, 0.500)
Hg (0.178, 0.080, 0.500)
Hg (0.322, 0.580, 0.500)
Hg (0.420, 0.322, 0.500)
Hg (0.500, 0.000, 0.500)
Hg (0.580, 0.678, 0.500)
Hg (0.678, 0.420, 0.500)
Hg (0.822, 0.920, 0.500)
Hg (0.920, 0.178, 0.500)



Entry 3:
The following is a PBE calculation of MgScAs2 after structural relaxation, from the Alexandria database.

The calculation puts the total energy at -4.906 eV/atom. Its formation energy is -600 meV per atom. As for the symmetry: Immm.

Unit cell a=4.932 b=4.932 c=4.932 alpha=130.07 beta=114.14 gamma=86.98
Atoms (fractional coordinates):
Mg (0.000, 0.000, 0.000)
Sc (0.500, 0.500, 0.000)
As (0.240, 0.740, 0.500)
As (0.760, 0.260, 0.500)



Entry 4:
The following is a PBE calculation of Sm6DyHoEr2 after structural relaxation, from the Alexandria database.

The calculation puts the total energy at -4.543 eV/atom. Its formation energy is 119 meV per atom. As for the symmetry: C2/c.

Unit cell a=8.863 b=8.863 c=9.568 alpha=93.78 beta=93.78 gamma=117.70
Atoms (fractional coordinates):
Sm (0.013, 0.565, 0.186)
Sm (0.118, 0.760, 0.555)
Sm (0.240, 0.882, 0.945)
Sm (0.292, 0.509, 0.381)
Sm (0.435, 0.987, 0.314)
Sm (0.491, 0.708, 0.119)
Sm (0.509, 0.292, 0.881)
Sm (0.565, 0.013, 0.686)
Sm (0.708, 0.491, 0.619)
Sm (0.760, 0.118, 0.055)
Sm (0.882, 0.240, 0.445)
Sm (0.987, 0.435, 0.814)
Dy (0.027, 0.973, 0.250)
Dy (0.973, 0.027, 0.750)
Ho (0.410, 0.590, 0.750)
Ho (0.590, 0.410, 0.250)
Er (0.200, 0.300, 0.046)
Er (0.300, 0.200, 0.546)
Er (0.700, 0.800, 0.454)
Er (0.800, 0.700, 0.954)



Entry 5:
The following is a PBE calculation of Na3WC after structural relaxation, from the Alexandria database.

As for the energy above the most stable polymorph in this dataset: 443.3 meV/atom. The calculation puts the total energy at -2.527 eV/atom. Its formation energy is 2700 meV per atom. As for the symmetry: Pm-3m.

Unit cell a=6.026 b=6.026 c=6.026 alpha=90.00 beta=90.00 gamma=90.00
Atoms (fractional coordinates):
Na (0.000, 0.000, 0.500)
Na (0.000, 0.500, 0.000)
Na (0.500, 0.000, 0.000)
W (0.000, 0.000, 0.000)
C (0.500, 0.500, 0.500)



Entry 6:
The following is a PBE calculation of LiMg2Fe after structural relaxation, from the Alexandria database.

The calculation puts the total energy at -3.176 eV/atom. Its formation energy is 215 meV per atom. As for the symmetry: Cm.

Unit cell a=5.312 b=5.312 c=4.867 alpha=107.93 beta=107.93 gamma=31.51
Atoms (fractional coordinates):
Li (0.000, 0.000, 0.000)
Mg (0.238, 0.238, 0.822)
Mg (0.464, 0.464, 0.461)
Fe (0.725, 0.725, 0.318)



Entry 7:
The following is a PBE calculation of KZr2TeO8 after structural relaxation, from the Alexandria database.

The calculation puts the total energy at -7.133 eV/atom. The calculation puts the uncorrected formation energy at -2.049 eV/atom. As for the symmetry: P2/m.

Unit cell a=4.875 b=7.068 c=4.878 alpha=90.00 beta=91.84 gamma=90.00
Atoms (fractional coordinates):
K (0.000, 0.000, 0.000)
Zr (0.500, 0.263, 0.500)
Zr (0.500, 0.737, 0.500)
Te (0.000, 0.500, 0.000)
O (0.199, 0.305, 0.199)
O (0.199, 0.695, 0.199)
O (0.288, 0.500, 0.712)
O (0.349, 0.000, 0.648)
O (0.651, 0.000, 0.352)
O (0.712, 0.500, 0.288)
O (0.801, 0.305, 0.801)
O (0.801, 0.695, 0.801)



Entry 8:
The following is a PBE calculation of ReI after structural relaxation, from the Alexandria database.

As for the energy above the most stable polymorph in this dataset: 388.4 meV/atom. The calculation puts the total energy at -6.082 eV/atom. The calculation puts the uncorrected formation energy at 0.917 eV/atom. As for the symmetry: P6_3/m.

Unit cell a=11.224 b=11.224 c=3.659 alpha=90.00 beta=90.00 gamma=120.00
Atoms (fractional coordinates):
Re (0.009, 0.439, 0.250)
Re (0.430, 0.991, 0.250)
Re (0.439, 0.430, 0.750)
Re (0.561, 0.570, 0.250)
Re (0.570, 0.009, 0.750)
Re (0.991, 0.561, 0.750)
I (0.169, 0.365, 0.750)
I (0.197, 0.831, 0.750)
I (0.365, 0.197, 0.250)
I (0.635, 0.803, 0.750)
I (0.803, 0.169, 0.250)
I (0.831, 0.635, 0.250)



Entry 9:
The following is a PBE calculation of MoAuBr2 after structural relaxation, from the Alexandria database.

As for the energy above the most stable polymorph in this dataset: 106.2 meV/atom. The calculation puts the total energy at -4.174 eV/atom. The calculation puts the uncorrected formation energy at 0.190 eV/atom. As for the symmetry: R-3m.

Unit cell a=10.759 b=10.759 c=10.759 alpha=17.06 beta=17.06 gamma=17.06
Atoms (fractional coordinates):
Mo (0.000, 0.000, 0.000)
Au (0.500, 0.500, 0.500)
Br (0.392, 0.392, 0.392)
Br (0.608, 0.608, 0.608)



Entry 10:
The following is a PBE calculation of ThNi5P2Pd after structural relaxation, from the Alexandria database.

The calculation puts the total energy at -6.130 eV/atom. Its formation energy is -314 meV per atom. As for the symmetry: P4/mmm.

Unit cell a=3.881 b=3.881 c=9.445 alpha=90.00 beta=90.00 gamma=90.00
Atoms (fractional coordinates):
Th (0.000, 0.000, 0.000)
Ni (0.000, 0.500, 0.328)
Ni (0.000, 0.500, 0.672)
Ni (0.500, 0.000, 0.328)
Ni (0.500, 0.000, 0.672)
Ni (0.500, 0.500, 0.000)
P (0.500, 0.500, 0.224)
P (0.500, 0.500, 0.776)
Pd (0.000, 0.000, 0.500)



Entry 11:
The following is a PBE calculation of Re2Sb after structural relaxation, from the Alexandria database.

As for the energy above the most stable polymorph in this dataset: 597.1 meV/atom. The calculation puts the total energy at -8.874 eV/atom. The calculation puts the uncorrected formation energy at 0.799 eV/atom. As for the symmetry: I4/mcm.

Unit cell a=5.660 b=5.660 c=5.660 alpha=125.55 beta=125.55 gamma=80.63
Atoms (fractional coordinates):
Re (0.198, 0.698, 0.896)
Re (0.302, 0.198, 0.500)
Re (0.698, 0.802, 0.500)
Re (0.802, 0.302, 0.104)
Sb (0.250, 0.250, 0.000)
Sb (0.750, 0.750, 0.000)



Entry 12:
The following is a PBE calculation of BeCrSe after structural relaxation, from the Alexandria database.

As for the energy above the most stable polymorph in this dataset: 458.8 meV/atom. The calculation puts the total energy at -5.099 eV/atom. The calculation puts the uncorrected formation energy at 0.512 eV/atom. As for the symmetry: F-43m.

Unit cell a=4.045 b=4.045 c=4.045 alpha=60.00 beta=60.00 gamma=60.00
Atoms (fractional coordinates):
Be (0.000, 0.000, 0.000)
Cr (0.750, 0.750, 0.750)
Se (0.250, 0.250, 0.250)



Question: Which formula does entry 9 have?
Answer: MoAuBr2